A plane-wave DFT calculation with GGA-PBE was carried out for a geometry-optimized KFeAgTeSe2 structure.

The structure belongs to space group Cmcm (No. 63); the cell edges are 3.655, 15.951 and 10.351 Å and the angles 90.00°, 90.00° and 90.00°. The distinct sites, in fractional coordinates, are K at (0.000, 0.236, 0.250), Fe at (0.000, 0.000, 0.000), Ag at (0.000, 0.440, 0.750), Te at (0.000, 0.073, 0.750) and Se at (0.000, 0.397, 0.517).

As for the crystal system: orthorhombic. For the electronic total energy, the calculation gives -95.8 eV/cell.